A relaxed structure of CsTiCrO4, computed with PBE+U.

It has space group P2_1/m (No. 11), with a = 5.468 Å, b = 5.581 Å, c = 7.914 Å, α = 90.00°, β = 90.70° and γ = 90.00°. The inequivalent atoms are Cs at (0.230, 0.250, 0.111), Ti at (0.356, 0.250, 0.634), Cr at (0.148, 0.750, 0.471), O at (0.104, 0.016, 0.646), O at (0.373, 0.750, 0.236) and O at (0.494, 0.750, 0.566).

The raw total energy is -102.72 eV for the cell shown.